This record from Alexandria describes crystalline P2PtSe at its relaxed geometry. The functional is PBE.

Cell lengths 5.5975, 5.5975, 6.8617 Å; angles 65.93, 65.93, 90.00 degrees
Last column: nearest neighbours and their distance in Å.
Fractional coordinates of all 8 atoms:
Pt1 0.0000 0.0000 0.0000  4 P 2.30
Pt2 0.7500 0.2500 0.5000  4 P 2.30
P1 0.0828 0.6250 0.2500  2 Pt 2.30, 2 Se 2.57
P2 0.3750 0.3328 0.7500  2 Pt 2.30, 2 Se 2.57
P3 0.8750 0.9172 0.7500  2 Pt 2.30, 2 Se 2.57
P4 0.6672 0.1250 0.2500  2 Pt 2.30, 2 Se 2.57
Se1 0.2500 0.7500 0.5000  4 P 2.57
Se2 0.5000 0.5000 0.0000  4 P 2.57


This record from Alexandria describes crystalline P2PtSe at its relaxed geometry. The functional is PBE.

Cell lengths 5.8500, 5.8500, 5.8500 Å; angles 152.34, 131.25, 56.97 degrees
Last column: nearest neighbours and their distance in Å.
Fractional coordinates of all 4 atoms:
Se1 0.7500 0.2500 0.5000  4 Pt 2.79, 2 Se 2.80
P1 0.0449 0.0449 0.0000  2 Pt 2.53, 2 P 2.80
P2 0.4551 0.4551 0.0000  2 Pt 2.53, 2 P 2.80
Pt1 0.2500 0.7500 0.5000  4 P 2.53, 4 Se 2.79, 2 Pt 2.80


This record from Alexandria describes crystalline P2PtSe at its relaxed geometry. The functional is PBE.

Cell lengths 3.1931, 3.1931, 7.0089 Å; angles 90.00, 90.00, 90.00 degrees
Last column: nearest neighbours and their distance in Å.
Fractional coordinates of all 4 atoms:
P1 0.0000 0.0000 0.1105  4 P 2.41, 1 Pt 2.46
P2 0.5000 0.5000 0.2322  4 P 2.41
Se1 0.5000 0.5000 0.6960  4 Pt 2.79
Pt1 0.0000 0.0000 0.4614  1 P 2.46


This record from Alexandria describes crystalline P2PtSe at its relaxed geometry. The functional is PBE.

Cell lengths 2.9968, 4.6119, 4.6291 Å; angles 90.00, 90.00, 90.00 degrees
Last column: nearest neighbours and their distance in Å.
Fractional coordinates of all 4 atoms:
Pt1 0.5000 0.0000 0.5000  4 Se 2.75, 4 P 2.76, 2 Pt 3.00
P1 0.5000 0.5000 0.0000  6 P 2.75-3.00, 4 Se 2.76
P2 0.0000 0.0000 0.0000  6 P 2.75-3.00, 4 Pt 2.76
Se1 0.0000 0.5000 0.5000  4 Pt 2.75, 4 P 2.76, 2 Se 3.00


This record from Alexandria describes crystalline P2Pt3Se4 at its relaxed geometry. The functional is PBE.

Cell lengths 8.8161, 7.5842, 6.0391 Å; angles 79.77, 57.84, 42.39 degrees
Last column: nearest neighbours and their distance in Å.
Fractional coordinates of all 9 atoms:
Se1 0.6685 0.9874 0.0126  2 Pt 2.47, 1 P 2.50
Se2 0.3315 0.0126 0.9874  2 Pt 2.47, 1 P 2.50
Se3 0.9874 0.6685 0.3315  2 Pt 2.47, 1 P 2.50
Se4 0.0126 0.3315 0.6685  2 Pt 2.47, 1 P 2.50
P1 0.2184 0.7816 0.2184  1 Pt 2.32, 2 Se 2.50
P2 0.7816 0.2184 0.7816  1 Pt 2.32, 2 Se 2.50
Pt1 0.0000 0.0000 0.0000  2 P 2.32
Pt2 0.5000 0.0000 0.5000  4 Se 2.47
Pt3 0.0000 0.5000 0.0000  4 Se 2.47


This record from Alexandria describes crystalline P2PtSe at its relaxed geometry. The functional is PBE.

Cell lengths 2.7612, 2.7612, 10.6814 Å; angles 90.00, 90.00, 90.03 degrees
Last column: nearest neighbours and their distance in Å.
Fractional coordinates of all 4 atoms:
Pt1 0.5000 0.5000 0.2500  8 P 2.62-2.63, 4 Pt 2.76
P1 0.0000 0.0000 0.0857  4 Pt 2.62-2.63, 4 P 2.76
P2 0.0000 0.0000 0.4143  4 Pt 2.62-2.63, 4 P 2.76
Se1 0.5000 0.5000 0.7500  4 Se 2.76


This record from Alexandria describes crystalline P2PtSe at its relaxed geometry. The functional is PBE.

Cell lengths 4.5895, 4.5895, 3.0135 Å; angles 90.00, 90.00, 90.00 degrees
Last column: nearest neighbours and their distance in Å.
Fractional coordinates of all 4 atoms:
Pt1 0.5000 0.0000 0.5000  8 P 2.75, 2 Pt 3.01
P1 0.0000 0.0000 0.0000  4 Se 2.75, 4 Pt 2.75, 2 P 3.01
P2 0.5000 0.5000 0.0000  4 Pt 2.75, 4 Se 2.75, 2 P 3.01
Se1 0.0000 0.5000 0.5000  8 P 2.75, 2 Se 3.01


This record from Alexandria describes crystalline PPt2Se3 at its relaxed geometry. The functional is PBE.

Cell lengths 7.0509, 7.0509, 7.0509 Å; angles 64.56, 64.56, 64.56 degrees
Last column: nearest neighbours and their distance in Å.
Fractional coordinates of all 12 atoms:
P1 0.7315 0.7315 0.7315  3 Pt 2.43
P2 0.2685 0.2685 0.2685  3 Pt 2.43
Se1 0.7557 0.2550 0.7557  3 Pt 2.53
Se2 0.7557 0.7557 0.2550  3 Pt 2.53
Se3 0.2443 0.2443 0.7450  3 Pt 2.53
Se4 0.2550 0.7557 0.7557  3 Pt 2.53
Se5 0.2443 0.7450 0.2443  3 Pt 2.53
Se6 0.7450 0.2443 0.2443  3 Pt 2.53
Pt1 0.5000 0.0000 0.5000  2 P 2.43, 4 Se 2.53
Pt2 0.5000 0.5000 0.0000  2 P 2.43, 4 Se 2.53
Pt3 0.0000 0.5000 0.5000  2 P 2.43, 4 Se 2.53
Pt4 0.0000 0.0000 0.0000  6 Se 2.53


This record from Alexandria describes crystalline P2PtSe at its relaxed geometry. The functional is PBE.

Cell lengths 5.1021, 3.6522, 3.6522 Å; angles 90.00, 90.00, 90.00 degrees
Last column: nearest neighbours and their distance in Å.
Fractional coordinates of all 4 atoms:
Pt1 0.5000 0.5000 0.0000  4 Se 2.58
Se1 0.5000 0.0000 0.5000  4 Pt 2.58
P1 0.0000 0.0000 0.0000  4 P 2.58
P2 0.0000 0.5000 0.5000  4 P 2.58


This record from Alexandria describes crystalline PPt2Se2 at its relaxed geometry. The functional is PBE.

Cell lengths 5.4479, 5.4479, 5.4479 Å; angles 143.98, 104.96, 86.16 degrees
Last column: nearest neighbours and their distance in Å.
Fractional coordinates of all 5 atoms:
Pt1 0.2669 0.5000 0.7669  2 P 2.44
Pt2 0.7331 0.5000 0.2331  2 P 2.44
P1 0.0000 0.0000 0.0000  4 Pt 2.44
Se1 0.7006 0.2006 0.5000  6 Pt 2.79-2.97, 2 P 2.92
Se2 0.2994 0.7994 0.5000  6 Pt 2.79-2.97, 2 P 2.92


This record from Alexandria describes crystalline P2PtSe3 at its relaxed geometry. The functional is PBE.

Cell lengths 6.8085, 6.8085, 6.8085 Å; angles 62.03, 62.03, 62.03 degrees
Last column: nearest neighbours and their distance in Å.
Fractional coordinates of all 12 atoms:
Se1 0.7460 0.2261 0.7460  3 P 2.48-2.58
Se2 0.2261 0.7460 0.7460  3 P 2.48-2.58
Se3 0.7460 0.7460 0.2261  3 P 2.48-2.58
Se4 0.7739 0.2540 0.2540  3 P 2.48-2.58
Se5 0.2540 0.7739 0.2540  3 P 2.48-2.58
Se6 0.2540 0.2540 0.7739  3 P 2.48-2.58
P1 0.5000 0.5000 0.0000  2 Pt 2.40, 4 Se 2.58
P2 0.0000 0.5000 0.5000  2 Pt 2.40, 4 Se 2.58
P3 0.0000 0.0000 0.0000  6 Se 2.48
P4 0.5000 0.0000 0.5000  2 Pt 2.40, 4 Se 2.58
Pt1 0.7454 0.7454 0.7454  3 P 2.40
Pt2 0.2546 0.2546 0.2546  3 P 2.40


This record from Alexandria describes crystalline PPt4Se at its relaxed geometry. The functional is PBE.

Cell lengths 5.3088, 5.3088, 5.3088 Å; angles 60.00, 60.00, 60.00 degrees
Last column: nearest neighbours and their distance in Å.
Fractional coordinates of all 6 atoms:
Se1 0.7500 0.7500 0.7500  12 Pt 3.11, 4 P 3.25
Pt1 0.3746 0.3746 0.8761  6 Pt 2.65-2.66
Pt2 0.3746 0.3746 0.3746  6 Pt 2.65-2.66
Pt3 0.8761 0.3746 0.3746  6 Pt 2.65-2.66
Pt4 0.3746 0.8761 0.3746  6 Pt 2.65-2.66
P1 0.0000 0.0000 0.0000  12 Pt 3.11, 4 Se 3.25


This record from Alexandria describes crystalline P2PtSe at its relaxed geometry. The functional is PBE.

Cell lengths 5.7161, 5.7161, 3.9981 Å; angles 108.93, 108.93, 35.21 degrees
Last column: nearest neighbours and their distance in Å.
Fractional coordinates of all 4 atoms:
Se1 0.2500 0.2500 0.2500  4 Pt 2.64, 2 P 2.77
P1 0.5179 0.5179 0.5907  2 P 2.26, 1 Pt 2.39
P2 0.9821 0.9821 0.9093  2 P 2.26, 1 Pt 2.39
Pt1 0.7500 0.7500 0.7500  2 P 2.39, 4 Se 2.64


Results for raw total energy: -5.065; -4.721; -4.770; -4.585; -4.607; -4.803; -4.596; -4.904; -4.485; -4.689; -4.422; -4.946; -5.199 (in eV/atom, following the order of the records).
Results for energy relative to the elements, uncorrected: 0.0213; 0.3654; 0.3164; 0.5015; 0.1577; 0.2829; 0.4900; -0.2468; 0.6011; 0.2032; 0.1306; 0.5637; -0.1132 (in eV per atom, following the order of the records).